A relaxed structure of BaCu6P2. Source: Alexandria via LeMat-Bulk, functional PBE-GGA.

Cell: 4.0937 4.0937 8.8019 Å, 90.00 90.00 90.00°
Space group P4/mmm (No. 123)
Unique sites:
Ba 0.0000 0.0000 0.0000 (multiplicity 1)
Cu 0.0000 0.0000 0.5000 (multiplicity 1)
Cu 0.0000 0.5000 0.3293 (multiplicity 4)
Cu 0.5000 0.5000 0.5000 (multiplicity 1)
P 0.5000 0.5000 0.2076 (multiplicity 2)

**Energy relative to the elements**: -0.311 eV/atom
**N(E_F)**: 4.35 states/eV/cell
**DFT total energy**: -4.46 eV per atom
**M_tot**: 0.000 μB/atom